A relaxed structure of LaRe2PbAu, computed with PBE.

Geometry as POSCAR:
```
LaRe2PbAu
1.0
4.922 0.000 0.000
0.000 4.922 0.000
0.000 0.000 5.693
Pb Re Au La
1 2 1 1
Cartesian
2.461 2.461 2.847
0.000 2.461 0.000
2.461 0.000 0.000
0.000 0.000 2.847
0.000 0.000 0.000
```

Values from the calculation:
For the formation energy, the calculation gives 10.5 eV per formula unit. Its energy is -5.257 eV per atom.

---

A relaxed structure of LaPbAu2S, computed with PBE.

Geometry as POSCAR:
```
LaPbAu2S
1.0
5.245 0.000 0.000
0.000 5.425 0.000
0.000 0.000 5.245
Pb S Au La
1 1 2 1
Cartesian
0.000 0.000 0.000
0.000 2.712 0.000
0.000 0.000 2.623
2.623 0.000 0.000
2.623 2.712 2.623
```

Values from the calculation:
Its energy is -3.966 eV per atom.

---

A relaxed structure of LaTiPbAu2, computed with PBE.

Geometry as POSCAR:
```
LaTiPbAu2
1.0
5.274 0.000 0.000
0.000 6.002 0.000
0.000 0.000 5.274
Pb Ti Au La
1 1 2 1
Cartesian
0.000 0.000 0.000
2.637 3.001 2.637
0.000 0.000 2.637
2.637 0.000 0.000
0.000 3.001 0.000
```

Values from the calculation:
For the formation energy, the calculation gives 4.1 eV per formula unit. Its energy is -3.798 eV per atom.

---

A relaxed structure of LaTlPbAu, computed with PBE.

Geometry as POSCAR:
```
LaTlPbAu
1.0
-1.132 4.440 -2.792
0.050 -0.118 -5.364
-4.603 0.349 -2.734
Pb Tl Au La
1 1 1 1
Cartesian
-4.264 3.503 -8.167
-2.843 2.335 -5.445
0.000 0.000 0.000
-1.421 1.168 -2.722
```

Values from the calculation:
For the formation energy, the calculation gives -1.7 eV per formula unit. Its energy is -3.989 eV per atom.

---

A relaxed structure of LaTlPbAu2, computed with PBE.

Geometry as POSCAR:
```
LaTlPbAu2
1.0
5.204 0.000 0.000
0.000 5.834 0.000
0.000 0.000 5.204
Pb Tl Au La
1 1 2 1
Cartesian
0.000 2.917 0.000
0.000 0.000 0.000
0.000 0.000 2.602
2.602 0.000 0.000
2.602 2.917 2.602
```

Values from the calculation:
For the formation energy, the calculation gives 0.8 eV per formula unit. Its energy is -3.358 eV per atom.

---

A relaxed structure of LaTmPbAu, computed with PBE.

Geometry as POSCAR:
```
LaTmPbAu
1.0
5.377 0.000 0.000
2.688 4.657 0.000
2.688 1.552 4.390
Pb Tm Au La
1 1 1 1
Cartesian
5.377 3.104 2.195
8.065 4.657 3.293
0.000 0.000 0.000
2.688 1.552 1.098
```

Values from the calculation:
For the formation energy, the calculation gives -2.4 eV per formula unit. Its energy is -4.697 eV per atom.